No. 1
# Pr2Sm4HoSc PBE optimized geometry
data_Pr2Sm4HoSc
_chemical_formula_sum 'Pr2 Sm4 Ho1 Sc1'
_cell_length_a 5.077
_cell_length_b 5.091
_cell_length_c 10.140
_cell_angle_alpha 90.00
_cell_angle_beta 90.06
_cell_angle_gamma 90.00
_space_group_name_H-M_alt 'P 1 2/m 1'
_space_group_IT_number 10
_space_group_name_Hall '-P 2y'
loop_
_atom_site_label
_atom_site_fract_x
_atom_site_fract_y
_atom_site_fract_z
Pr1 0.000 0.000 0.000
Pr2 0.500 0.500 0.500
Sm1 0.000 0.500 0.245
Sm2 0.500 0.000 0.246
Ho1 0.000 0.000 0.500
Sc1 0.500 0.500 0.000
# E (eV/atom): -4.88
# Density (g/cm³): 6.93
# Energy of formation from the pure elements (eV per atom): 0.03

No. 2
# Li4EuRh PBE optimized geometry
data_Li4EuRh
_chemical_formula_sum 'Li16 Eu4 Rh4'
_cell_length_a 7.548
_cell_length_b 7.548
_cell_length_c 7.548
_cell_angle_alpha 90.00
_cell_angle_beta 90.00
_cell_angle_gamma 90.00
_space_group_name_H-M_alt 'F -4 3 m'
_space_group_IT_number 216
_space_group_name_Hall 'F -4 2 3'
loop_
_atom_site_label
_atom_site_fract_x
_atom_site_fract_y
_atom_site_fract_z
Li1 0.121 0.121 0.379
Eu1 0.000 0.000 0.000
Rh1 0.250 0.250 0.750
# E (eV/atom): -4.19
# Density (g/cm³): 4.37
# Energy of formation from the pure elements (eV per atom): 0.02

No. 3
# TlGeRh3 PBE optimized geometry
data_TlGeRh3
_chemical_formula_sum 'Tl1 Ge1 Rh3'
_cell_length_a 4.946
_cell_length_b 4.946
_cell_length_c 4.946
_cell_angle_alpha 90.00
_cell_angle_beta 90.00
_cell_angle_gamma 90.00
_space_group_name_H-M_alt 'P m -3 m'
_space_group_IT_number 221
_space_group_name_Hall '-P 4 2 3'
loop_
_atom_site_label
_atom_site_fract_x
_atom_site_fract_y
_atom_site_fract_z
Tl1 0.000 0.000 0.000
Ge1 0.500 0.500 0.500
Rh1 0.000 0.000 0.500
# E (eV/atom): -4.25
# Energy above the lowest structure with this stoichiometry (eV/f.u.): 6.28
# Density (g/cm³): 8.04
# Energy of formation from the pure elements (eV per atom): 1.56

No. 4
# Ho2ScAg3Se6 PBE optimized geometry
data_Ho2ScAg3Se6
_chemical_formula_sum 'Ho4 Sc2 Ag6 Se12'
_cell_length_a 17.444
_cell_length_b 4.091
_cell_length_c 8.107
_cell_angle_alpha 90.00
_cell_angle_beta 101.84
_cell_angle_gamma 90.00
_space_group_name_H-M_alt 'C 1 2/m 1'
_space_group_IT_number 12
_space_group_name_Hall '-C 2y'
loop_
_atom_site_label
_atom_site_fract_x
_atom_site_fract_y
_atom_site_fract_z
Ho1 0.166 0.000 0.323
Sc1 0.000 0.500 0.000
Ag1 0.000 0.500 0.500
Ag2 0.174 0.000 0.818
Se1 0.001 0.000 0.770
Se2 0.161 0.500 0.075
Se3 0.166 0.500 0.572
# E_form (uncorrected) (meV per atom): -1119
# E (eV/atom): -4.86
# Density (g/cm³): 6.87

No. 5
# GaCuNiCl2 PBE optimized geometry
data_GaCuNiCl2
_chemical_formula_sum 'Ga1 Cu1 Ni1 Cl2'
_cell_length_a 4.589
_cell_length_b 4.589
_cell_length_c 4.785
_cell_angle_alpha 90.00
_cell_angle_beta 90.00
_cell_angle_gamma 90.00
_space_group_name_H-M_alt 'P 4/m m m'
_space_group_IT_number 123
_space_group_name_Hall '-P 4 2'
loop_
_atom_site_label
_atom_site_fract_x
_atom_site_fract_y
_atom_site_fract_z
Ga1 0.000 0.000 0.000
Cu1 0.500 0.500 0.000
Ni1 0.500 0.500 0.500
Cl1 0.000 0.500 0.500
# E_form (uncorrected) (meV per atom): 38
# E (eV/atom): -3.28
# Density (g/cm³): 4.33

No. 6
# TlTe2I8 PBE optimized geometry
data_TlTe2I8
_chemical_formula_sum 'Tl1 Te2 I8'
_cell_length_a 10.3262
_cell_length_b 10.3262
_cell_length_c 6.2317
_cell_angle_alpha 90.00
_cell_angle_beta 90.00
_cell_angle_gamma 120.00
_space_group_name_H-M_alt 'P -3'
_space_group_IT_number 147
_space_group_name_Hall '-P 3'
loop_
_atom_site_label
_atom_site_fract_x
_atom_site_fract_y
_atom_site_fract_z
Tl1 0.0000 0.0000 0.0000
Te1 0.3333 0.6667 0.2436
I1 0.1713 0.8258 0.2622
I2 0.3333 0.6667 0.7517
# E_form (uncorrected) (meV per atom): -83
# E (eV/atom): -2.00
# Energy above the lowest structure with this stoichiometry (eV/f.u.): 0.38
# Density (g/cm³): 4.26

No. 7
# CaSnNF2 PBE optimized geometry
data_CaSnNF2
_chemical_formula_sum 'Ca1 Sn1 N1 F2'
_cell_length_a 4.464
_cell_length_b 4.464
_cell_length_c 4.294
_cell_angle_alpha 90.00
_cell_angle_beta 90.00
_cell_angle_gamma 90.00
_space_group_name_H-M_alt 'P 4/m m m'
_space_group_IT_number 123
_space_group_name_Hall '-P 4 2'
loop_
_atom_site_label
_atom_site_fract_x
_atom_site_fract_y
_atom_site_fract_z
Ca1 0.000 0.000 0.000
Sn1 0.500 0.500 0.500
N1 0.500 0.500 0.000
F1 0.000 0.500 0.500
# E_form (uncorrected) (meV per atom): -1390
# E (eV/atom): -5.00
# Energy above the lowest structure with this stoichiometry (eV/f.u.): 0.00
# Density (g/cm³): 4.09

No. 8
# LiPaNiPd PBE optimized geometry
data_LiPaNiPd
_chemical_formula_sum 'Li4 Pa4 Ni4 Pd4'
_cell_length_a 6.563
_cell_length_b 6.563
_cell_length_c 6.563
_cell_angle_alpha 90.00
_cell_angle_beta 90.00
_cell_angle_gamma 90.00
_space_group_name_H-M_alt 'F -4 3 m'
_space_group_IT_number 216
_space_group_name_Hall 'F -4 2 3'
loop_
_atom_site_label
_atom_site_fract_x
_atom_site_fract_y
_atom_site_fract_z
Li1 0.000 0.000 0.000
Pa1 0.000 0.000 0.500
Ni1 0.250 0.250 0.750
Pd1 0.250 0.250 0.250
# E (eV/atom): -5.81
# Density (g/cm³): 9.47
# Energy of formation from the pure elements (eV per atom): -0.22

No. 9
# UTlGaCl6 PBE optimized geometry
data_UTlGaCl6
_chemical_formula_sum 'U2 Tl2 Ga2 Cl12'
_cell_length_a 7.4988
_cell_length_b 7.4988
_cell_length_c 13.1640
_cell_angle_alpha 90.00
_cell_angle_beta 90.00
_cell_angle_gamma 120.00
_space_group_name_H-M_alt 'P -3 1 c'
_space_group_IT_number 163
_space_group_name_Hall '-P 3 2c'
loop_
_atom_site_label
_atom_site_fract_x
_atom_site_fract_y
_atom_site_fract_z
U1 0.3333 0.6667 0.2500
Tl1 0.0000 0.0000 0.0000
Ga1 0.3333 0.6667 0.7500
Cl1 0.0376 0.3837 0.1364
# E_form (uncorrected) (meV per atom): -1377
# E (eV/atom): -4.46
# Density (g/cm³): 3.76

No. 10
# Pt3Au PBE optimized geometry
data_Pt3Au
_chemical_formula_sum 'Pt12 Au4'
_cell_length_a 6.402
_cell_length_b 6.402
_cell_length_c 6.402
_cell_angle_alpha 90.00
_cell_angle_beta 90.00
_cell_angle_gamma 90.00
_space_group_name_H-M_alt 'F m -3 m'
_space_group_IT_number 225
_space_group_name_Hall '-F 4 2 3'
loop_
_atom_site_label
_atom_site_fract_x
_atom_site_fract_y
_atom_site_fract_z
Pt1 0.000 0.000 0.000
Pt2 0.250 0.250 0.250
Au1 0.000 0.000 0.500
# E (eV/atom): -5.22
# Density (g/cm³): 19.80
# Energy of formation from the pure elements (eV per atom): 0.13

No. 11
# Li6AcGa2 PBE optimized geometry
data_Li6AcGa2
_chemical_formula_sum 'Li12 Ac2 Ga4'
_cell_length_a 10.748
_cell_length_b 8.274
_cell_length_c 4.619
_cell_angle_alpha 90.00
_cell_angle_beta 96.85
_cell_angle_gamma 90.00
_space_group_name_H-M_alt 'C 1 2/m 1'
_space_group_IT_number 12
_space_group_name_Hall '-C 2y'
loop_
_atom_site_label
_atom_site_fract_x
_atom_site_fract_y
_atom_site_fract_z
Li1 0.000 0.163 0.000
Li2 0.231 0.170 0.747
Ac1 0.000 0.500 0.500
Ga1 0.213 0.000 0.237
# E (eV/atom): -2.47
# Energy above the lowest structure with this stoichiometry (eV/f.u.): 1.10
# Density (g/cm³): 3.32
# Energy of formation from the pure elements (eV per atom): -0.07

No. 12
# Sc2SnO PBE optimized geometry
data_Sc2SnO
_chemical_formula_sum 'Sc6 Sn3 O3'
_cell_length_a 3.3249
_cell_length_b 3.3249
_cell_length_c 21.4703
_cell_angle_alpha 90.00
_cell_angle_beta 90.00
_cell_angle_gamma 120.00
_space_group_name_H-M_alt 'R -3 m'
_space_group_IT_number 166
_space_group_name_Hall '-R 3 2"'
loop_
_atom_site_label
_atom_site_fract_x
_atom_site_fract_y
_atom_site_fract_z
Sc1 0.0000 0.0000 0.2215
Sn1 0.0000 0.0000 0.0000
O1 0.0000 0.0000 0.5000
# E_form (uncorrected) (meV per atom): -1700
# E (eV/atom): -7.11
# Energy above the lowest structure with this stoichiometry (eV/f.u.): 0.35
# Density (g/cm³): 5.44

No. 13
# MgPbBr2 PBE optimized geometry
data_MgPbBr2
_chemical_formula_sum 'Mg2 Pb2 Br4'
_cell_length_a 3.565
_cell_length_b 6.595
_cell_length_c 10.072
_cell_angle_alpha 90.00
_cell_angle_beta 90.00
_cell_angle_gamma 90.00
_space_group_name_H-M_alt 'I m m m'
_space_group_IT_number 71
_space_group_name_Hall '-I 2 2'
loop_
_atom_site_label
_atom_site_fract_x
_atom_site_fract_y
_atom_site_fract_z
Mg1 0.000 0.000 0.000
Pb1 0.000 0.000 0.500
Br1 0.000 0.500 0.309
# E_form (uncorrected) (meV per atom): -649
# E (eV/atom): -2.81
# Energy above the lowest structure with this stoichiometry (eV/f.u.): 1.06
# Density (g/cm³): 5.49